LaMo2As | Alexandria | meta-GGA SCAN | single point on PBEsol structure; crystal system = trigonal; N(E_F) = 0.424 states/eV/atom; formation energy from the elements = -0.2371 eV per atom; calculated volume = 21.038 Å³ per atom
1.0
-2.740 3.317 0.051
-2.516 0.764 -3.405
-5.464 -1.736 0.930
Mo As La
2 1 1
Cartesian
-5.722 3.691 -3.097
-2.683 0.583 -0.604
-4.878 1.573 -1.477
-8.050 1.750 -1.813